No. 1
A relaxed BaZr2Cl crystal, computed with PBE.

Calculated values
- crystal system = tetragonal
- calculated volume (Å³ per cell) = 261.8
- distance to the lowest polymorph of the same formula (meV per atom) = 599
- SG = I-42d, No. 122
- total magnetic moment (μB/f.u.) = 0.00

The structure in POSCAR format:
```
BaZr2Cl
1.0
-5.139 0.265 0.203
-0.021 -3.381 3.884
-1.941 5.870 8.514
Cl Zr Ba
2 4 2
direct
0.500 0.500 0.000
0.250 0.750 0.500
0.340 0.125 0.250
0.375 0.660 0.750
0.875 0.590 0.750
0.410 0.625 0.250
0.750 0.250 0.500
0.000 0.000 0.000
```

---

No. 2
A relaxed Sm13Tm3 crystal, computed with PBE.

Calculated values
- DFT formation energy (eV per formula unit) = 0.424
- crystal system = orthorhombic
- calculated volume (Å³ per cell) = 534.6
- SG = Amm2, No. 38
- total magnetic moment (μB/f.u.) = 0.00

The structure in POSCAR format:
```
Sm13Tm3
1.0
-0.877 2.780 6.713
-3.304 -7.444 2.651
8.104 -2.023 1.896
Sm Tm
13 3
direct
0.751 0.456 0.039
0.500 0.713 0.794
0.000 0.207 0.291
0.500 0.792 0.208
0.000 0.709 0.793
0.500 0.290 0.710
0.250 0.541 0.459
0.750 0.541 0.459
0.249 0.961 0.544
0.249 0.456 0.039
0.000 0.793 0.207
0.500 0.206 0.287
0.751 0.961 0.544
0.000 0.289 0.711
0.249 0.043 0.957
0.751 0.043 0.957
```

---

No. 3
A relaxed SmThSe2 crystal, computed with PBE.

Calculated values
- crystal system = hexagonal
- calculated volume (Å³ per cell) = 208.7
- distance to the lowest polymorph of the same formula (meV per atom) = 18
- SG = P6_3/mmc, No. 194
- total magnetic moment (μB/f.u.) = 0.00

The structure in POSCAR format:
```
SmThSe2
1.0
4.056 0.000 0.000
-2.028 3.513 0.000
0.000 0.000 14.643
Th Se Sm
2 4 2
direct
0.333 0.667 0.750
0.667 0.333 0.250
0.667 0.333 0.621
0.333 0.667 0.379
0.333 0.667 0.121
0.667 0.333 0.879
0.000 0.000 0.500
0.000 0.000 0.000
```

---

No. 4
A relaxed Zr3Tl2H2 crystal, computed with PBE.

Calculated values
- crystal system = monoclinic
- calculated volume (Å³ per cell) = 121.8
- distance to the lowest polymorph of the same formula (meV per atom) = 0
- SG = C2/m, No. 12
- total magnetic moment (μB/f.u.) = 0.00

The structure in POSCAR format:
```
Zr3Tl2H2
1.0
-1.712 1.142 2.429
-0.235 -7.504 1.277
5.050 5.327 1.053
Zr H Tl
3 2 2
direct
0.697 0.394 0.595
0.500 0.000 0.000
0.303 0.606 0.405
0.132 0.264 0.311
0.868 0.736 0.689
0.900 0.800 0.198
0.100 0.200 0.802
```